Material: SrLi6Hg2
Method: DFT, PBE
State: relaxed

a = 4.511 Å, b = 4.511 Å, c = 10.139 Å
α = 90.00°, β = 90.00°, γ = 90.00°
Fractional positions:
Li (0.000, 0.500, 0.693)
Li (0.500, 0.000, 0.693)
Li (0.000, 0.000, 0.500)
Li (0.500, 0.500, 0.500)
Li (0.000, 0.500, 0.307)
Hg (0.500, 0.500, 0.151)
Sr (0.000, 0.000, 0.000)
Hg (0.500, 0.500, 0.849)
Li (0.500, 0.000, 0.307)

Calculated values
* D(E_F): 0.685 states/eV per atom
* formation energy from the elements: -0.208 eV per atom
* M_tot: 0.0 Bohr magnetons per cell
* calculated density: 4.27 g cm⁻³
* SG: P4/mmm (123)



Material: K2LiMg3Tl12
Method: DFT, PBE
State: relaxed

a = 11.899 Å, b = 11.899 Å, c = 11.899 Å
α = 38.60°, β = 38.60°, γ = 38.60°
Fractional positions:
Tl (0.586, 0.586, 0.178)
Tl (0.078, 0.078, 0.649)
Tl (0.822, 0.414, 0.414)
Tl (0.649, 0.078, 0.078)
Tl (0.922, 0.922, 0.351)
Mg (0.500, 0.000, 0.000)
Tl (0.178, 0.586, 0.586)
Tl (0.414, 0.822, 0.414)
K (0.351, 0.351, 0.351)
Tl (0.351, 0.922, 0.922)
Tl (0.078, 0.649, 0.078)
Mg (0.000, 0.500, 0.000)
Mg (0.000, 0.000, 0.500)
K (0.649, 0.649, 0.649)
Tl (0.922, 0.351, 0.922)
Li (0.000, 0.000, 0.000)
Tl (0.586, 0.178, 0.586)
Tl (0.414, 0.414, 0.822)

Calculated values
* D(E_F): 0.592 states/eV per atom
* formation energy from the elements: 0.048 eV per atom
* M_tot: 0.0 Bohr magnetons per cell
* calculated density: 7.36 g cm⁻³
* SG: R-3m (166)



Material: CaScI2O
Method: DFT, PBE
State: relaxed

a = 6.047 Å, b = 6.047 Å, c = 4.128 Å
α = 90.00°, β = 90.00°, γ = 90.00°
Fractional positions:
Ca (0.000, 0.000, 0.000)
Sc (0.500, 0.500, 0.500)
I (0.500, 0.000, 0.000)
I (0.000, 0.500, 0.000)
O (0.000, 0.000, 0.500)

Calculated values
* D(E_F): 0.871 states/eV per atom
* M_tot: 1.5 Bohr magnetons per cell
* raw formation energy: -0.845 eV per atom
* ΔE to the lowest computed polymorph: 738 meV/atom
* calculated density: 3.90 g cm⁻³
* SG: P4/mmm (123)



Material: Li2Cu
Method: DFT, PBE
State: relaxed

a = 3.944 Å, b = 5.417 Å, c = 8.057 Å
α = 90.00°, β = 90.00°, γ = 90.00°
Fractional positions:
Cu (0.750, 0.387, 0.568)
Cu (0.250, 0.113, 0.068)
Cu (0.250, 0.613, 0.432)
Li (0.250, 0.137, 0.744)
Li (0.750, 0.367, 0.910)
Cu (0.750, 0.887, 0.932)
Li (0.750, 0.863, 0.256)
Li (0.250, 0.633, 0.090)
Li (0.250, 0.133, 0.410)
Li (0.250, 0.637, 0.756)
Li (0.750, 0.363, 0.244)
Li (0.750, 0.867, 0.590)

Calculated values
* D(E_F): 0.338 states/eV per atom
* formation energy from the elements: -0.003 eV per atom
* M_tot: 0.0 Bohr magnetons per cell
* calculated density: 2.99 g cm⁻³
* SG: Pnma (62)